--- a ---
! LiLaHf3 PBE-GGA relaxed; values from VASP
! * total magnetization: 0.00 μB per formula unit
&SYSTEM
  ibrav = 0, nat = 5, ntyp = 3
/
ATOMIC_SPECIES
Li 6.94 Li.upf
Hf 178.49 Hf.upf
La 138.91 La.upf
CELL_PARAMETERS angstrom
-3.895 0.259 3.000
-0.061 -4.911 0.345
3.011 0.236 3.889
ATOMIC_POSITIONS angstrom
Li 0.000 0.000 0.000
Hf -0.030 -2.456 0.173
Hf 1.505 0.118 1.944
Hf -1.948 0.130 1.500
La -0.473 -2.208 3.617

=====

--- b ---
! LiLaHf3 PBE-GGA relaxed; values from VASP
! * total magnetization: 0.00 μB per formula unit
&SYSTEM
  ibrav = 0, nat = 5, ntyp = 3
/
ATOMIC_SPECIES
Li 6.94 Li.upf
Hf 178.49 Hf.upf
La 138.91 La.upf
CELL_PARAMETERS angstrom
5.238 0.000 0.000
0.000 5.238 0.000
0.000 0.000 5.238
ATOMIC_POSITIONS angstrom
Li 2.619 2.619 2.619
Hf 0.000 2.619 0.000
Hf 0.000 0.000 2.619
Hf 2.619 0.000 0.000
La 0.000 0.000 0.000

=====

Which structure is the least stable? The one labeled b.

=====

--- a ---
! LiLaHf2 PBE-GGA relaxed; values from VASP
! * total magnetization: 0.00 μB per formula unit
&SYSTEM
  ibrav = 0, nat = 8, ntyp = 3
/
ATOMIC_SPECIES
Li 6.94 Li.upf
Hf 178.49 Hf.upf
La 138.91 La.upf
CELL_PARAMETERS angstrom
4.250 0.000 0.000
0.000 4.250 0.000
2.125 2.125 10.920
ATOMIC_POSITIONS angstrom
Li 2.125 2.125 0.000
Li 2.125 4.250 5.460
Hf 1.092 1.062 2.730
Hf 3.158 3.187 2.730
Hf 3.187 5.283 8.190
Hf 5.312 3.217 8.190
La 0.000 0.000 0.000
La 4.250 2.125 5.460

=====

--- b ---
! LiLaHf2 PBE-GGA relaxed; values from VASP
! * total magnetization: 0.00 μB per formula unit
&SYSTEM
  ibrav = 0, nat = 4, ntyp = 3
/
ATOMIC_SPECIES
Li 6.94 Li.upf
Hf 178.49 Hf.upf
La 138.91 La.upf
CELL_PARAMETERS angstrom
-0.208 1.795 4.760
-3.656 -1.596 3.165
1.170 -3.034 3.919
ATOMIC_POSITIONS angstrom
Li 0.000 0.000 0.000
Hf -0.673 -0.709 2.961
Hf -2.020 -2.126 8.883
La -1.347 -1.417 5.922

=====

Which structure is the least stable? The one labeled b.

=====

--- a ---
! LiLa2HfOs PBE-GGA relaxed; values from VASP
! * total magnetization: 0.22 μB per formula unit
&SYSTEM
  ibrav = 0, nat = 5, ntyp = 4
/
ATOMIC_SPECIES
Hf 178.49 Hf.upf
Li 6.94 Li.upf
Os 190.23 Os.upf
La 138.91 La.upf
CELL_PARAMETERS angstrom
-5.473 0.597 0.022
-0.027 -0.421 4.580
0.596 5.450 0.504
ATOMIC_POSITIONS angstrom
Hf 0.000 0.000 0.000
Li -0.014 -0.210 2.290
Os -2.452 2.813 2.553
La 0.298 2.725 0.252
La -2.737 0.298 0.011

=====

--- b ---
! LiLa2HfOs PBE-GGA relaxed; values from VASP
! * total magnetization: 1.16 μB per formula unit
&SYSTEM
  ibrav = 0, nat = 5, ntyp = 4
/
ATOMIC_SPECIES
Hf 178.49 Hf.upf
Li 6.94 Li.upf
Os 190.23 Os.upf
La 138.91 La.upf
CELL_PARAMETERS angstrom
5.428 0.000 0.000
0.000 4.900 0.000
0.000 0.000 5.428
ATOMIC_POSITIONS angstrom
Hf 2.714 2.450 2.714
Li 0.000 2.450 0.000
Os 0.000 0.000 0.000
La 0.000 0.000 2.714
La 2.714 0.000 0.000

=====

Which structure is the least stable? The one labeled a.

=====

--- a ---
! La2Hf2Mg PBE-GGA relaxed; values from VASP
! * total magnetization: 0.00 μB per formula unit
&SYSTEM
  ibrav = 0, nat = 10, ntyp = 3
/
ATOMIC_SPECIES
Mg 24.30 Mg.upf
Hf 178.49 Hf.upf
La 138.91 La.upf
CELL_PARAMETERS angstrom
8.717 0.000 0.000
0.000 8.717 0.000
0.000 0.000 3.823
ATOMIC_POSITIONS angstrom
Mg 0.000 0.000 0.000
Mg 4.358 4.358 0.000
Hf 3.323 7.681 0.000
Hf 7.681 5.394 0.000
Hf 5.394 1.036 0.000
Hf 1.036 3.323 0.000
La 1.540 5.899 1.912
La 5.899 7.177 1.912
La 7.177 2.818 1.912
La 2.818 1.540 1.912

=====

--- b ---
! La2Hf2Mg PBE-GGA relaxed; values from VASP
! * total magnetization: 0.00 μB per formula unit
&SYSTEM
  ibrav = 0, nat = 5, ntyp = 3
/
ATOMIC_SPECIES
Mg 24.30 Mg.upf
Hf 178.49 Hf.upf
La 138.91 La.upf
CELL_PARAMETERS angstrom
4.489 0.000 0.000
0.000 4.489 0.000
2.245 2.245 7.435
ATOMIC_POSITIONS angstrom
Mg 0.000 0.000 0.000
Hf 2.245 2.245 1.294
Hf 4.489 4.489 6.141
La 4.489 2.245 3.718
La 2.245 4.489 3.718

=====

Which structure is the least stable? The one labeled b.

=====

--- a ---
! LaHfMg14 PBE-GGA relaxed; values from VASP
! * total magnetization: 0.00 μB per formula unit
&SYSTEM
  ibrav = 0, nat = 16, ntyp = 3
/
ATOMIC_SPECIES
La 138.91 La.upf
Hf 178.49 Hf.upf
Mg 24.30 Mg.upf
CELL_PARAMETERS angstrom
3.039 5.659 1.475
-3.942 -0.666 -5.239
-8.239 2.905 5.830
ATOMIC_POSITIONS angstrom
La -2.326 5.983 3.192
Hf -5.687 2.938 -0.040
Mg 1.862 4.592 0.343
Mg -1.635 1.424 -3.020
Mg -3.804 3.168 2.505
Mg 0.342 1.742 -0.384
Mg -4.263 5.703 0.594
Mg -0.116 4.274 -2.294
Mg -2.802 1.477 -0.056
Mg -7.000 2.957 2.915
Mg -3.247 3.939 -1.912
Mg -7.446 5.419 1.059
Mg -1.271 4.223 0.605
Mg -5.586 5.745 3.658
Mg -4.847 1.190 -2.559
Mg -8.833 2.596 0.261

=====

--- b ---
! LaHfMg14 PBE-GGA relaxed; values from VASP
! * total magnetization: 0.00 μB per formula unit
&SYSTEM
  ibrav = 0, nat = 16, ntyp = 3
/
ATOMIC_SPECIES
La 138.91 La.upf
Hf 178.49 Hf.upf
Mg 24.30 Mg.upf
CELL_PARAMETERS angstrom
3.288 -5.694 0.000
3.288 5.694 0.000
0.000 0.000 10.288
ATOMIC_POSITIONS angstrom
La 0.000 0.000 0.000
Hf 0.000 0.000 5.144
Mg 1.718 2.804 0.000
Mg 4.923 -2.842 5.144
Mg 4.857 2.804 0.000
Mg 1.652 -2.842 5.144
Mg 3.288 0.086 0.000
Mg 3.288 -0.010 5.144
Mg 3.288 3.790 2.690
Mg 3.288 3.790 7.598
Mg 1.649 0.952 2.690
Mg 1.649 0.952 7.598
Mg 4.926 0.952 2.690
Mg 4.926 0.952 7.598
Mg 3.288 -1.898 2.498
Mg 3.288 -1.898 7.790

=====

Which structure is the least stable? The one labeled b.

=====

--- a ---
! LaHf2Mo2 PBE-GGA relaxed; values from VASP
! * total magnetization: 0.00 μB per formula unit
&SYSTEM
  ibrav = 0, nat = 5, ntyp = 3
/
ATOMIC_SPECIES
Mo 95.94 Mo.upf
Hf 178.49 Hf.upf
La 138.91 La.upf
CELL_PARAMETERS angstrom
-1.418 3.565 -1.211
-3.578 -1.679 -0.751
-4.567 2.378 5.667
ATOMIC_POSITIONS angstrom
Mo -4.242 3.443 1.737
Mo -5.322 0.821 1.967
Hf -2.980 1.277 0.565
Hf -6.584 2.987 3.139
La 0.000 0.000 0.000

=====

--- b ---
! LaHf2Mo2 PBE-GGA relaxed; values from VASP
! * total magnetization: 0.00 μB per formula unit
&SYSTEM
  ibrav = 0, nat = 10, ntyp = 3
/
ATOMIC_SPECIES
Mo 95.94 Mo.upf
Hf 178.49 Hf.upf
La 138.91 La.upf
CELL_PARAMETERS angstrom
-6.928 2.488 -3.710
1.875 -4.593 -6.583
-1.602 -2.521 1.302
ATOMIC_POSITIONS angstrom
Mo -0.572 -3.852 -4.083
Mo -3.624 -3.617 -7.384
Mo -6.083 -0.774 -4.907
Mo -3.031 -1.009 -1.607
Hf -0.907 -3.065 -7.049
Hf -4.803 -0.764 -7.389
Hf -4.146 0.960 -3.244
Hf -0.250 -1.341 -2.904
La 0.000 0.000 0.000
La -2.526 -1.053 -5.146

=====

--- c ---
! LaHf2Mo2 PBE-GGA relaxed; values from VASP
! * total magnetization: 0.00 μB per formula unit
&SYSTEM
  ibrav = 0, nat = 10, ntyp = 3
/
ATOMIC_SPECIES
Mo 95.94 Mo.upf
Hf 178.49 Hf.upf
La 138.91 La.upf
CELL_PARAMETERS angstrom
8.096 0.000 0.000
0.000 8.096 0.000
0.000 0.000 3.326
ATOMIC_POSITIONS angstrom
Mo 2.875 6.923 0.000
Mo 6.923 5.221 0.000
Mo 5.221 1.173 0.000
Mo 1.173 2.875 0.000
Hf 1.127 5.175 1.663
Hf 5.175 6.969 1.663
Hf 6.969 2.921 1.663
Hf 2.921 1.127 1.663
La 0.000 0.000 0.000
La 4.048 4.048 0.000

=====

Which structure is the least stable? The one labeled a.